# 1
# Tb4HgPbC

A relaxed Tb4HgPbC crystal (GGA-PBE, Alexandria via LeMat-Bulk). Values from VASP.

Geometry as Quantum ESPRESSO input:
```
&SYSTEM
  ibrav = 0, nat = 14, ntyp = 4
/
ATOMIC_SPECIES
Tb 158.93 Tb.upf
Hg 200.59 Hg.upf
Pb 207.20 Pb.upf
C 12.01 C.upf
CELL_PARAMETERS angstrom
3.4998 -7.6196 0.0000
3.4998 7.6196 0.0000
0.0000 0.0000 6.9878
ATOMIC_POSITIONS crystal
Tb 0.0000 0.5000 0.0000
Tb 0.0000 0.5000 0.5000
Tb 0.0826 0.9174 0.7500
Tb 0.4100 0.5900 0.7500
Tb 0.5000 0.0000 0.0000
Tb 0.5000 0.0000 0.5000
Tb 0.5900 0.4100 0.2500
Tb 0.9174 0.0826 0.2500
Hg 0.1173 0.8827 0.2500
Hg 0.8827 0.1173 0.7500
Pb 0.3846 0.6154 0.2500
Pb 0.6154 0.3846 0.7500
C 0.2488 0.7512 0.7500
C 0.7512 0.2488 0.2500
```

Properties
Formation energy from the elements in meV per atom: -420
Calculated density in Mg/m³: 9.4
Space group: No. 63

# 2
# NaCaDyCd

A relaxed NaCaDyCd crystal (GGA-PBE, Alexandria via LeMat-Bulk). Values from VASP.

Geometry as Quantum ESPRESSO input:
```
&SYSTEM
  ibrav = 0, nat = 4, ntyp = 4
/
ATOMIC_SPECIES
Na 22.99 Na.upf
Ca 40.08 Ca.upf
Dy 162.50 Dy.upf
Cd 112.41 Cd.upf
CELL_PARAMETERS angstrom
0.0000 3.8767 3.8767
3.8767 0.0000 3.8767
3.8767 3.8767 0.0000
ATOMIC_POSITIONS crystal
Na 0.0000 0.0000 0.0000
Ca 0.2500 0.2500 0.2500
Dy 0.7500 0.7500 0.7500
Cd 0.5000 0.5000 0.5000
```

Properties
Formation energy from the elements in meV per atom: -20
Calculated density in Mg/m³: 4.8
Space group: No. 216

# 3
# CaYTa2

A relaxed CaYTa2 crystal (GGA-PBE, Alexandria via LeMat-Bulk). Values from VASP.

Geometry as Quantum ESPRESSO input:
```
&SYSTEM
  ibrav = 0, nat = 4, ntyp = 3
/
ATOMIC_SPECIES
Ca 40.08 Ca.upf
Y 88.91 Y.upf
Ta 180.95 Ta.upf
CELL_PARAMETERS angstrom
4.2245 0.0000 0.0000
0.0000 4.2408 0.0000
0.0000 0.0000 5.1391
ATOMIC_POSITIONS crystal
Ca 0.0000 0.0000 0.0000
Y 0.5000 0.5000 0.0000
Ta 0.0000 0.5000 0.5000
Ta 0.5000 0.0000 0.5000
```

Properties
Formation energy from the elements in meV per atom: 673
Polymorph energy (0 for the lowest one) in eV/f.u.: 1.58
Calculated density in Mg/m³: 8.9
Space group: No. 47

# 4
# Pm5In2Te12

A relaxed Pm5In2Te12 crystal (GGA-PBE, Alexandria via LeMat-Bulk). Values from VASP.

Geometry as Quantum ESPRESSO input:
```
&SYSTEM
  ibrav = 0, nat = 19, ntyp = 3
/
ATOMIC_SPECIES
Pm 145.00 Pm.upf
In 114.82 In.upf
Te 127.60 Te.upf
CELL_PARAMETERS angstrom
8.5824 -4.1665 0.0000
8.5824 4.1665 0.0000
-2.2603 0.0000 9.5577
ATOMIC_POSITIONS crystal
Pm 0.0000 0.0000 0.0000
Pm 0.2890 0.2890 0.1481
Pm 0.3247 0.3247 0.6888
Pm 0.6753 0.6753 0.3112
Pm 0.7110 0.7110 0.8519
In 0.2516 0.7484 0.5000
In 0.7484 0.2516 0.5000
Te 0.0316 0.0316 0.7085
Te 0.0681 0.5680 0.4229
Te 0.1066 0.6022 0.9391
Te 0.3978 0.8934 0.0609
Te 0.4320 0.9319 0.5771
Te 0.4856 0.4856 0.2812
Te 0.5144 0.5144 0.7188
Te 0.5680 0.0681 0.4229
Te 0.6022 0.1066 0.9391
Te 0.8934 0.3978 0.0609
Te 0.9319 0.4320 0.5771
Te 0.9684 0.9684 0.2915
```

Properties
Calculated density in Mg/m³: 6.0
Space group: No. 12
Formation energy (no corrections) in meV/atom: -895

# 5
# CaAcLaPb

A relaxed CaAcLaPb crystal (GGA-PBE, Alexandria via LeMat-Bulk). Values from VASP.

Geometry as Quantum ESPRESSO input:
```
&SYSTEM
  ibrav = 0, nat = 4, ntyp = 4
/
ATOMIC_SPECIES
Ca 40.08 Ca.upf
Ac 227.00 Ac.upf
La 138.91 La.upf
Pb 207.20 Pb.upf
CELL_PARAMETERS angstrom
0.0000 4.1514 4.1514
4.1514 0.0000 4.1514
4.1514 4.1514 0.0000
ATOMIC_POSITIONS crystal
Ca 0.0000 0.0000 0.0000
Ac 0.2500 0.2500 0.2500
La 0.7500 0.7500 0.7500
Pb 0.5000 0.5000 0.5000
```

Properties
Formation energy from the elements in meV per atom: -183
Calculated density in Mg/m³: 7.1
Space group: No. 216

# 6
# ErNbGa6

A relaxed ErNbGa6 crystal (GGA-PBE, Alexandria via LeMat-Bulk). Values from VASP.

Geometry as Quantum ESPRESSO input:
```
&SYSTEM
  ibrav = 0, nat = 8, ntyp = 3
/
ATOMIC_SPECIES
Er 167.26 Er.upf
Nb 92.91 Nb.upf
Ga 69.72 Ga.upf
CELL_PARAMETERS angstrom
3.5400 -3.5788 0.0000
3.5400 3.5788 0.0000
-0.3887 0.0000 6.0162
ATOMIC_POSITIONS crystal
Er 0.0000 0.0000 0.0000
Nb 0.0000 0.0000 0.5000
Ga 0.1341 0.5052 0.3127
Ga 0.3713 0.3713 0.8065
Ga 0.4948 0.8659 0.6873
Ga 0.5052 0.1341 0.3127
Ga 0.6287 0.6287 0.1935
Ga 0.8659 0.4948 0.6873
```

Properties
Formation energy from the elements in meV per atom: -174
Calculated density in Mg/m³: 7.4
Space group: No. 12

# 7
# K2FeCl

A relaxed K2FeCl crystal (GGA-PBE, Alexandria via LeMat-Bulk). Values from VASP.

Geometry as Quantum ESPRESSO input:
```
&SYSTEM
  ibrav = 0, nat = 4, ntyp = 3
/
ATOMIC_SPECIES
K 39.10 K.upf
Fe 55.84 Fe.upf
Cl 35.45 Cl.upf
CELL_PARAMETERS angstrom
4.6642 0.0000 0.0000
0.0000 4.6642 0.0000
0.0000 0.0000 6.8055
ATOMIC_POSITIONS crystal
K 0.0000 0.0000 0.0000
K 0.5000 0.5000 0.4967
Fe 0.5000 0.5000 0.9959
Cl 0.0000 0.0000 0.4964
```

Properties
Polymorph energy (0 for the lowest one) in eV/f.u.: 0.55
Calculated density in Mg/m³: 1.9
Space group: No. 99
Formation energy (no corrections) in meV/atom: -22

# 8
# Rh3CBr

A relaxed Rh3CBr crystal (GGA-PBE, Alexandria via LeMat-Bulk). Values from VASP.

Geometry as Quantum ESPRESSO input:
```
&SYSTEM
  ibrav = 0, nat = 5, ntyp = 3
/
ATOMIC_SPECIES
Rh 102.91 Rh.upf
C 12.01 C.upf
Br 79.90 Br.upf
CELL_PARAMETERS angstrom
4.1725 0.0000 0.0000
0.0000 4.1725 0.0000
0.0000 0.0000 4.1725
ATOMIC_POSITIONS crystal
Rh 0.0000 0.0000 0.5000
Rh 0.0000 0.5000 0.0000
Rh 0.5000 0.0000 0.0000
C 0.0000 0.0000 0.0000
Br 0.5000 0.5000 0.5000
```

Properties
Polymorph energy (0 for the lowest one) in eV/f.u.: 0.00
Calculated density in Mg/m³: 9.2
Space group: No. 221
Formation energy (no corrections) in meV/atom: 603

# 9
# LiPrInNi

A relaxed LiPrInNi crystal (GGA-PBE, Alexandria via LeMat-Bulk). Values from VASP.

Geometry as Quantum ESPRESSO input:
```
&SYSTEM
  ibrav = 0, nat = 4, ntyp = 4
/
ATOMIC_SPECIES
Li 6.94 Li.upf
Pr 140.91 Pr.upf
In 114.82 In.upf
Ni 58.69 Ni.upf
CELL_PARAMETERS angstrom
0.0000 3.4022 3.4022
3.4022 0.0000 3.4022
3.4022 3.4022 0.0000
ATOMIC_POSITIONS crystal
Li 0.0000 0.0000 0.0000
Pr 0.7500 0.7500 0.7500
In 0.2500 0.2500 0.2500
Ni 0.5000 0.5000 0.5000
```

Properties
Formation energy from the elements in meV per atom: -298
Calculated density in Mg/m³: 6.8
Space group: No. 216

# 10
# Na3Er2PuTe6

A relaxed Na3Er2PuTe6 crystal (GGA-PBE, Alexandria via LeMat-Bulk). Values from VASP.

Geometry as Quantum ESPRESSO input:
```
&SYSTEM
  ibrav = 0, nat = 12, ntyp = 4
/
ATOMIC_SPECIES
Na 22.99 Na.upf
Er 167.26 Er.upf
Pu 244.00 Pu.upf
Te 127.60 Te.upf
CELL_PARAMETERS angstrom
3.8452 -6.6611 0.0000
3.8452 6.6611 0.0000
-2.5649 0.0000 7.5262
ATOMIC_POSITIONS crystal
Na 0.0000 0.0000 0.0000
Na 0.3354 0.6646 0.0000
Na 0.6646 0.3354 0.0000
Er 0.1669 0.8331 0.5000
Er 0.8331 0.1669 0.5000
Pu 0.5000 0.5000 0.5000
Te 0.0830 0.4226 0.2682
Te 0.2375 0.2375 0.7315
Te 0.4226 0.0830 0.2682
Te 0.5774 0.9170 0.7318
Te 0.7625 0.7625 0.2685
Te 0.9170 0.5774 0.7318
```

Properties
Calculated density in Mg/m³: 6.1
Space group: No. 12
Formation energy (no corrections) in meV/atom: -1200

# 11
# P2RhS2

A relaxed P2RhS2 crystal (GGA-PBE, Alexandria via LeMat-Bulk). Values from VASP.

Geometry as Quantum ESPRESSO input:
```
&SYSTEM
  ibrav = 0, nat = 5, ntyp = 3
/
ATOMIC_SPECIES
P 30.97 P.upf
Rh 102.91 Rh.upf
S 32.06 S.upf
CELL_PARAMETERS angstrom
4.6988 0.0000 0.0000
0.0000 4.6988 0.0000
0.0000 0.0000 4.4176
ATOMIC_POSITIONS crystal
P 0.0000 0.0000 0.0000
P 0.5000 0.5000 0.0000
Rh 0.0000 0.0000 0.5000
S 0.0000 0.5000 0.5000
S 0.5000 0.0000 0.5000
```

Properties
Polymorph energy (0 for the lowest one) in eV/f.u.: 0.16
Calculated density in Mg/m³: 3.9
Space group: No. 123
Formation energy (no corrections) in meV/atom: 851

# 12
# LaDy6Y12

A relaxed LaDy6Y12 crystal (GGA-PBE, Alexandria via LeMat-Bulk). Values from VASP.

Geometry as Quantum ESPRESSO input:
```
&SYSTEM
  ibrav = 0, nat = 19, ntyp = 3
/
ATOMIC_SPECIES
La 138.91 La.upf
Dy 162.50 Dy.upf
Y 88.91 Y.upf
CELL_PARAMETERS angstrom
5.9611 3.4416 5.1076
-5.9611 3.4416 5.1076
0.0000 -6.8832 5.1076
ATOMIC_POSITIONS crystal
La 0.0000 0.0000 0.0000
Dy 0.0920 0.2565 0.6886
Dy 0.2565 0.6886 0.0920
Dy 0.3114 0.9080 0.7435
Dy 0.6886 0.0920 0.2565
Dy 0.7435 0.3114 0.9080
Dy 0.9080 0.7435 0.3114
Y 0.0092 0.3578 0.2062
Y 0.2062 0.0092 0.3578
Y 0.2252 0.5643 0.4557
Y 0.3578 0.2062 0.0092
Y 0.4357 0.5443 0.7748
Y 0.4557 0.2252 0.5643
Y 0.5443 0.7748 0.4357
Y 0.5643 0.4557 0.2252
Y 0.6422 0.7938 0.9908
Y 0.7748 0.4357 0.5443
Y 0.7938 0.9908 0.6422
Y 0.9908 0.6422 0.7938
```

Properties
Formation energy from the elements in meV per atom: 150
Polymorph energy (0 for the lowest one) in eV/f.u.: 2.39
Calculated density in Mg/m³: 5.8
Space group: No. 148